Record 1
# La2Ga6Rh9, optimized geometry, DFT PBE
# - E_form: -607 meV/atom
# - Fermi-level density of states: 0.60 states/eV per atom
data_La2Ga6Rh9
_cell_length_a 5.6398
_cell_length_b 5.6398
_cell_length_c 11.5586
_cell_angle_alpha 90.00
_cell_angle_beta 90.00
_cell_angle_gamma 120.00
_space_group_name_H-M_alt 'P 6/m m m'
_space_group_IT_number 191
_space_group_name_Hall '-P 6 2'
loop_
_atom_site_label
_atom_site_fract_x
_atom_site_fract_y
_atom_site_fract_z
La1 0.0000 0.0000 0.2046
Ga1 0.3333 0.6667 0.1648
Ga2 0.3333 0.6667 0.5000
Rh1 0.0000 0.5000 0.0000
Rh2 0.0000 0.5000 0.3314

=====

Record 2
# LaGaRh, optimized geometry, DFT PBE
# - E_form: -601 meV/atom
# - Fermi-level density of states: 0.98 states/eV per atom
data_LaGaRh
_cell_length_a 3.3381
_cell_length_b 3.3381
_cell_length_c 11.0949
_cell_angle_alpha 90.00
_cell_angle_beta 90.00
_cell_angle_gamma 90.00
_space_group_name_H-M_alt 'I 4 m m'
_space_group_IT_number 107
_space_group_name_Hall 'I 4 -2'
loop_
_atom_site_label
_atom_site_fract_x
_atom_site_fract_y
_atom_site_fract_z
La1 0.0000 0.0000 0.0000
Ga1 0.0000 0.0000 0.2895
Rh1 0.0000 0.0000 0.6888

=====

Record 3
# La3Ga5Rh6, optimized geometry, DFT PBE
# - E_form: -776 meV/atom
# - Fermi-level density of states: 0.54 states/eV per atom
data_La3Ga5Rh6
_cell_length_a 4.2849
_cell_length_b 12.9146
_cell_length_c 9.8189
_cell_angle_alpha 90.00
_cell_angle_beta 90.00
_cell_angle_gamma 90.00
_space_group_name_H-M_alt 'P m m n'
_space_group_IT_number 59
loop_
_space_group_symop_operation_xyz
'x,y,z'
'-x,-y,-z'
'-x+1/2,-y+1/2,z'
'x+1/2,y+1/2,-z'
'x+1/2,-y,-z'
'-x+1/2,y,z'
'-x,y+1/2,-z'
'x,-y+1/2,z'
loop_
_atom_site_label
_atom_site_fract_x
_atom_site_fract_y
_atom_site_fract_z
La1 0.2500 0.0796 0.2463
La2 0.2500 0.7500 0.2601
Ga1 0.2500 0.0813 0.6386
Ga2 0.2500 0.6273 0.9901
Ga3 0.2500 0.7500 0.6218
Rh1 0.2500 0.0547 0.8962
Rh2 0.2500 0.2500 0.0226
Rh3 0.2500 0.2500 0.5075
Rh4 0.2500 0.5823 0.4969

=====

Record 4
# LaGa6Rh4, optimized geometry, DFT PBE
# - E_form: -649 meV/atom
# - Fermi-level density of states: 0.64 states/eV per atom
data_LaGa6Rh4
_cell_length_a 7.3992
_cell_length_b 7.3992
_cell_length_c 3.9513
_cell_angle_alpha 90.00
_cell_angle_beta 90.00
_cell_angle_gamma 120.00
_space_group_name_H-M_alt 'P -6 m 2'
_space_group_IT_number 187
_space_group_name_Hall 'P -6 2'
loop_
_atom_site_label
_atom_site_fract_x
_atom_site_fract_y
_atom_site_fract_z
La1 0.0000 0.0000 0.0000
Ga1 0.1969 0.3938 0.5000
Ga2 0.5332 0.0664 0.0000
Rh1 0.3333 0.6667 0.0000
Rh2 0.4085 0.2042 0.5000

=====

Record 5
# La3Ga8Rh3, optimized geometry, DFT PBE
# - E_form: -720 meV/atom
# - Fermi-level density of states: 0.45 states/eV per atom
data_La3Ga8Rh3
_cell_length_a 16.1255
_cell_length_b 4.5110
_cell_length_c 8.8805
_cell_angle_alpha 90.00
_cell_angle_beta 122.02
_cell_angle_gamma 90.00
_space_group_name_H-M_alt 'C 1 2/m 1'
_space_group_IT_number 12
_space_group_name_Hall '-C 2y'
loop_
_atom_site_label
_atom_site_fract_x
_atom_site_fract_y
_atom_site_fract_z
La1 0.0000 0.0000 0.0000
La2 0.2108 0.5000 0.6915
Ga1 0.0101 0.5000 0.6861
Ga2 0.1318 0.0000 0.4197
Ga3 0.1420 0.0000 0.8467
Ga4 0.1493 0.5000 0.2688
Rh1 0.0000 0.0000 0.5000
Rh2 0.1699 0.5000 0.0038

=====

Record 6
# La2Ga2Rh, optimized geometry, DFT PBE
# - E_form: -716 meV/atom
# - Fermi-level density of states: 0.86 states/eV per atom
data_La2Ga2Rh
_cell_length_a 11.8303
_cell_length_b 3.9358
_cell_length_c 12.1404
_cell_angle_alpha 90.00
_cell_angle_beta 118.11
_cell_angle_gamma 90.00
_space_group_name_H-M_alt 'C 1 2/m 1'
_space_group_IT_number 12
_space_group_name_Hall '-C 2y'
loop_
_atom_site_label
_atom_site_fract_x
_atom_site_fract_y
_atom_site_fract_z
La1 0.0937 0.0000 0.3827
La2 0.2193 0.5000 0.1427
Ga1 0.0296 0.0000 0.9127
Ga2 0.1220 0.5000 0.6109
Rh1 0.0698 0.5000 0.8011

=====

Record 7
# LaGaRh4, optimized geometry, DFT PBE
# - E_form: -460 meV/atom
# - Fermi-level density of states: 0.98 states/eV per atom
data_LaGaRh4
_cell_length_a 4.0951
_cell_length_b 16.3817
_cell_length_c 6.1986
_cell_angle_alpha 90.00
_cell_angle_beta 90.00
_cell_angle_gamma 90.00
_space_group_name_H-M_alt 'C m c m'
_space_group_IT_number 63
_space_group_name_Hall '-C 2c 2'
loop_
_atom_site_label
_atom_site_fract_x
_atom_site_fract_y
_atom_site_fract_z
La1 0.0000 0.0995 0.2500
Ga1 0.0000 0.2255 0.7500
Rh1 0.0000 0.0764 0.7500
Rh2 0.0000 0.3270 0.0393
Rh3 0.0000 0.5000 0.0000

=====

Record 8
# La2Ga3Rh5, optimized geometry, DFT PBE
# - E_form: -708 meV/atom
# - Fermi-level density of states: 0.66 states/eV per atom
data_La2Ga3Rh5
_cell_length_a 10.5855
_cell_length_b 11.7631
_cell_length_c 6.0522
_cell_angle_alpha 90.00
_cell_angle_beta 90.00
_cell_angle_gamma 90.00
_space_group_name_H-M_alt 'I b a m'
_space_group_IT_number 72
_space_group_name_Hall '-I 2 2c'
loop_
_atom_site_label
_atom_site_fract_x
_atom_site_fract_y
_atom_site_fract_z
La1 0.2397 0.1270 0.0000
Ga1 0.0000 0.5000 0.2500
Ga2 0.1048 0.1358 0.5000
Rh1 0.0000 0.0000 0.2500
Rh2 0.0000 0.2760 0.2500
Rh3 0.1639 0.3959 0.0000

=====

Record 9
# La2GaRh, optimized geometry, DFT PBE
# - E_form: -603 meV/atom
# - Fermi-level density of states: 0.64 states/eV per atom
data_La2GaRh
_cell_length_a 3.7460
_cell_length_b 3.7460
_cell_length_c 7.0887
_cell_angle_alpha 90.00
_cell_angle_beta 90.00
_cell_angle_gamma 90.00
_space_group_name_H-M_alt 'P 4/m m m'
_space_group_IT_number 123
_space_group_name_Hall '-P 4 2'
loop_
_atom_site_label
_atom_site_fract_x
_atom_site_fract_y
_atom_site_fract_z
La1 0.0000 0.0000 0.2326
Ga1 0.5000 0.5000 0.5000
Rh1 0.5000 0.5000 0.0000

=====

Record 10
# LaGaRh2, optimized geometry, DFT PBE
# - E_form: -262 meV/atom
# - Fermi-level density of states: 0.78 states/eV per atom
data_LaGaRh2
_cell_length_a 6.0520
_cell_length_b 7.3410
_cell_length_c 8.2046
_cell_angle_alpha 90.00
_cell_angle_beta 90.00
_cell_angle_gamma 90.00
_space_group_name_H-M_alt 'P m m a'
_space_group_IT_number 51
_space_group_name_Hall '-P 2a 2a'
loop_
_atom_site_label
_atom_site_fract_x
_atom_site_fract_y
_atom_site_fract_z
La1 0.2500 0.0000 0.1880
La2 0.2500 0.5000 0.2897
Ga1 0.2500 0.0000 0.7519
Ga2 0.2500 0.5000 0.7750
Rh1 0.0000 0.0000 0.5000
Rh2 0.0000 0.5000 0.0000
Rh3 0.2500 0.2945 0.5451

=====

Record 11
# LaGaRh2, optimized geometry, DFT PBE
# - E_form: -756 meV/atom
# - Fermi-level density of states: 0.26 states/eV per atom
data_LaGaRh2
_cell_length_a 4.2740
_cell_length_b 6.2305
_cell_length_c 5.9130
_cell_angle_alpha 90.00
_cell_angle_beta 90.00
_cell_angle_gamma 90.00
_space_group_name_H-M_alt 'P m m n'
_space_group_IT_number 59
loop_
_space_group_symop_operation_xyz
'x,y,z'
'-x,-y,-z'
'-x+1/2,-y+1/2,z'
'x+1/2,y+1/2,-z'
'x+1/2,-y,-z'
'-x+1/2,y,z'
'-x,y+1/2,-z'
'x,-y+1/2,z'
loop_
_atom_site_label
_atom_site_fract_x
_atom_site_fract_y
_atom_site_fract_z
La1 0.2500 0.2500 0.1448
Ga1 0.2500 0.7500 0.3355
Rh1 0.2500 0.0247 0.6610

=====

Record 12
# La2GaRh3, optimized geometry, DFT PBE
# - E_form: -551 meV/atom
# - Fermi-level density of states: 0.59 states/eV per atom
data_La2GaRh3
_cell_length_a 4.3496
_cell_length_b 5.3432
_cell_length_c 10.9954
_cell_angle_alpha 90.00
_cell_angle_beta 90.00
_cell_angle_gamma 90.00
_space_group_name_H-M_alt 'I m m m'
_space_group_IT_number 71
_space_group_name_Hall '-I 2 2'
loop_
_atom_site_label
_atom_site_fract_x
_atom_site_fract_y
_atom_site_fract_z
La1 0.0000 0.0000 0.1809
Ga1 0.0000 0.0000 0.5000
Rh1 0.0000 0.5000 0.1241
Rh2 0.0000 0.5000 0.5000